## NiI2NF (GGA+U)

Data for a geometry-optimized NiI2NF structure.

a = 6.1087 Å, b = 6.1087 Å, c = 3.3981 Å
α = 90.00°, β = 90.00°, γ = 90.00°
Last column: nearest neighbours and their distance in Å.
Fractional coordinates of all 5 atoms:
Ni (0.0000, 0.0000, 0.0000)  2 Ni 3.40, 8 I 3.50
I (0.0000, 0.5000, 0.5000)  2 F 3.05, 2 I 3.40
I (0.5000, 0.0000, 0.5000)  2 F 3.05, 2 I 3.40
N (0.5000, 0.5000, 0.0000)  2 F 1.70
F (0.5000, 0.5000, 0.5000)  2 N 1.70

Summary:
The distance to the lowest polymorph of the same formula is 2.706 eV per formula unit. For the density of states at the Fermi level, the calculation gives 4.00 states/eV per cell. For the mass density, the calculation gives 4524 kg/m³. The spin magnetization comes out at 2.7 μB/f.u. The uncorrected energy comes out at -1.921 eV per atom.